(1)
Crystalline Na4GaPt3O8 at its relaxed geometry. Source: Alexandria via LeMat-Bulk, functional GGA-PBE.

a b c (Å): 6.7500 6.7500 6.1143
angles (deg): 112.02 112.02 53.59
Fractional coordinates of all 16 atoms:
Na  0.0000  0.0000  0.0000
Na  0.0000  0.5000  0.5000
Na  0.5000  0.0000  0.5000
Na  0.5000  0.5000  0.0000
Ga  0.0000  0.0000  0.5000
Pt  0.0000  0.5000  0.0000
Pt  0.5000  0.0000  0.0000
Pt  0.5000  0.5000  0.5000
O  0.2028  0.2028  0.7693
O  0.2026  0.7209  0.6733
O  0.2791  0.7974  0.3267
O  0.3172  0.3172  0.2514
O  0.6828  0.6828  0.7486
O  0.7209  0.2026  0.6733
O  0.7974  0.2791  0.3267
O  0.7972  0.7972  0.2307

Calculated values
Final energy in eV/cell: -84.0
Total moment in μB/f.u.: 0.58
Crystal system: monoclinic
Formation energy (no corrections) in eV/atom: -1.12
Space group: C2/m (12)

(2)
Crystalline Pa4In at its relaxed geometry. Source: Alexandria via LeMat-Bulk, functional GGA-PBE.

a b c (Å): 8.1500 8.1500 8.1500
angles (deg): 158.29 142.98 43.32
Fractional coordinates of all 5 atoms:
Pa  0.1044  0.1044  0.0000
Pa  0.2992  0.7992  0.5000
Pa  0.7008  0.2008  0.5000
Pa  0.8956  0.8956  0.0000
In  0.5000  0.5000  0.0000

Calculated values
Final energy in eV/cell: -40.6
Total moment in μB/f.u.: 0.00
Polymorph energy (0 for the lowest one) in meV/atom: 0
Crystal system: orthorhombic
DFT formation energy in eV/atom: 0.015
Space group: Immm (71)

(3)
Crystalline GdTm3Ir at its relaxed geometry. Source: Alexandria via LeMat-Bulk, functional GGA-PBE.

a b c (Å): 5.3670 5.3670 5.3670
angles (deg): 90.00 90.00 90.00
Fractional coordinates of all 5 atoms:
Gd  0.0000  0.0000  0.0000
Tm  0.0000  0.5000  0.5000
Tm  0.5000  0.0000  0.5000
Tm  0.5000  0.5000  0.0000
Ir  0.5000  0.5000  0.5000

Calculated values
Final energy in eV/cell: -37.9
Total moment in μB/f.u.: 7.77
Crystal system: cubic
DFT formation energy in eV/atom: -0.317
Space group: Pm-3m (221)

(4)
Crystalline ZnHg2Mo at its relaxed geometry. Source: Alexandria via LeMat-Bulk, functional GGA-PBE.

a b c (Å): 4.1373 4.1373 4.2434
angles (deg): 90.00 90.00 90.00
Fractional coordinates of all 4 atoms:
Zn  0.0000  0.0000  0.0000
Hg  0.0000  0.5000  0.5000
Hg  0.5000  0.0000  0.5000
Mo  0.5000  0.5000  0.0000

Calculated values
Final energy in eV/cell: -11.0
Total moment in μB/f.u.: 0.31
Crystal system: tetragonal
DFT formation energy in eV/atom: 0.415
Space group: P4/mmm (123)

Q: Which value of total moment does entry 2 give?
A: 0.00 μB/f.u.